[1]
## Li3Nb4O12 (PBE-GGA)

Data for an optimized crystal structure of Li3Nb4O12.

Lattice parameters (Å, degrees): 9.9306 9.9306 9.9306 30.76 30.76 30.76
Closest atoms and distances in Å follow each position.
Sites, in units of the cell vectors:
Li 0.1429 0.1429 0.1429  6 O 2.11-2.33
Li 0.8957 0.8957 0.8957  6 O 2.13-2.22
Li 0.3956 0.3956 0.3956  6 O 2.07-2.30
Nb 0.0067 0.0067 0.0067  3 O 1.90
Nb 0.5034 0.5034 0.5034  3 O 1.92
Nb 0.7534 0.7534 0.7534  6 O 1.92-2.14
Nb 0.2516 0.2516 0.2516  3 O 1.90
O 0.8775 0.2419 0.4864  2 Nb 1.92-2.14, 1 Li 2.13
O 0.9987 0.3736 0.7450  1 Nb 1.90, 1 Li 2.07
O 0.7450 0.9987 0.3736  1 Nb 1.90, 1 Li 2.07
O 0.3736 0.7450 0.9987  1 Nb 1.90, 1 Li 2.07
O 0.7352 0.4967 0.1278  2 Nb 1.92-2.15, 1 Li 2.11
O 0.4967 0.1278 0.7352  2 Nb 1.92-2.15, 1 Li 2.11
O 0.4864 0.8775 0.2419  2 Nb 1.92-2.14, 1 Li 2.13
O 0.2419 0.4864 0.8775  2 Nb 1.92-2.14, 1 Li 2.13
O 0.6330 0.1874 0.0382  1 Nb 1.90
O 0.1874 0.0382 0.6330  1 Nb 1.90
O 0.0382 0.6330 0.1874  1 Nb 1.90
O 0.1278 0.7352 0.4967  2 Nb 1.92-2.15, 1 Li 2.11

Values from the calculation:
theoretical density = 4273 kg/m3
ΔE_f (raw) = -2.358 eV per atom
final energy = -150.32 eV per cell



[2]
## GaBPd2 (PBE-GGA)

Data for an optimized crystal structure of GaBPd2.

Lattice parameters (Å, degrees): 5.4239 5.4239 6.0939 63.57 63.57 90.00
Closest atoms and distances in Å follow each position.
Sites, in units of the cell vectors:
B 0.5000 0.5000 0.0000  4 Pd 2.03
B 0.2500 0.7500 0.5000  4 Pd 2.03
Ga 0.0000 0.0000 0.0000  4 Pd 2.53
Ga 0.7500 0.2500 0.5000  4 Pd 2.53
Pd 0.5479 0.1250 0.2500  2 B 2.03
Pd 0.2021 0.6250 0.2500  2 B 2.03
Pd 0.3750 0.4521 0.7500  2 B 2.03
Pd 0.8750 0.7979 0.7500  2 B 2.03

Values from the calculation:
ΔE_f = 0.09 eV per atom
theoretical density = 6994 kg/m3
offset from the most stable computed form = 0 meV/atom
final energy = -39.49 eV per cell



[3]
## Sr3Ca5Zn3 (PBE-GGA)

Data for an optimized crystal structure of Sr3Ca5Zn3.

Lattice parameters (Å, degrees): 6.1852 9.4731 9.4731 120.00 90.00 90.00
Closest atoms and distances in Å follow each position.
Sites, in units of the cell vectors:
Sr 0.0000 0.6051 0.0000  2 Zn 3.10
Sr 0.0000 0.0000 0.6051  2 Zn 3.10
Sr 0.0000 0.3949 0.3949  2 Zn 3.10
Ca 0.5000 0.6667 0.3333  3 Zn 2.98
Ca 0.5000 0.3333 0.6667  3 Zn 2.98
Ca 0.5000 0.2486 0.0000  2 Zn 3.13
Ca 0.5000 0.7514 0.7514  2 Zn 3.13
Ca 0.5000 0.0000 0.2486  2 Zn 3.13
Zn 0.5000 0.6250 0.0000  4 Ca 2.98-3.13, 2 Sr 3.10
Zn 0.5000 0.3750 0.3750  4 Ca 2.98-3.13, 2 Sr 3.10
Zn 0.5000 0.0000 0.6250  4 Ca 2.98-3.13, 2 Sr 3.10

Values from the calculation:
ΔE_f = 0.01 eV per atom
theoretical density = 2278 kg/m3
final energy = -18.74 eV per cell



[4]
## CePu4Rh3 (PBE-GGA)

Data for an optimized crystal structure of CePu4Rh3.

Lattice parameters (Å, degrees): 3.5626 3.5626 11.9898 90.00 90.00 90.00
Closest atoms and distances in Å follow each position.
Sites, in units of the cell vectors:
Ce 0.0000 0.0000 0.5000  8 Rh 2.86
Pu 0.0000 0.5000 0.1856  4 Pu 2.52
Pu 0.0000 0.5000 0.8144  4 Pu 2.52
Pu 0.5000 0.0000 0.8144  4 Pu 2.52
Pu 0.5000 0.0000 0.1856  4 Pu 2.52
Rh 0.0000 0.0000 0.0000  8 Pu 2.85
Rh 0.5000 0.5000 0.3869  1 Rh 2.71, 4 Ce 2.86, 4 Pu 3.00
Rh 0.5000 0.5000 0.6131  1 Rh 2.71, 4 Ce 2.86, 4 Pu 3.00

Values from the calculation:
ΔE_f = 0.32 eV per atom
theoretical density = 15547 kg/m3
final energy = -82.75 eV per cell



[5]
## HfZr2Fe2 (PBE-GGA)

Data for an optimized crystal structure of HfZr2Fe2.

Lattice parameters (Å, degrees): 7.6779 7.6779 2.9502 90.00 90.00 90.00
Closest atoms and distances in Å follow each position.
Sites, in units of the cell vectors:
Hf 0.0000 0.0000 0.0000  2 Hf 2.95, 4 Zr 2.96, 8 Fe 3.23
Hf 0.5000 0.5000 0.0000  2 Hf 2.95, 4 Zr 2.96, 8 Fe 3.23
Fe 0.1626 0.6626 0.5000  6 Zr 2.59-2.77
Fe 0.6626 0.8374 0.5000  6 Zr 2.59-2.77
Fe 0.8374 0.3374 0.5000  6 Zr 2.59-2.77
Fe 0.3374 0.1626 0.5000  6 Zr 2.59-2.77
Zr 0.3581 0.8581 0.0000  6 Fe 2.59-2.77
Zr 0.8581 0.6419 0.0000  6 Fe 2.59-2.77
Zr 0.6419 0.1419 0.0000  6 Fe 2.59-2.77
Zr 0.1419 0.3581 0.0000  6 Fe 2.59-2.77

Values from the calculation:
ΔE_f = 0.19 eV per atom
theoretical density = 9025 kg/m3
offset from the most stable computed form = 318 meV/atom
final energy = -86.02 eV per cell



[6]
## AcTb2SmY (PBE-GGA)

Data for an optimized crystal structure of AcTb2SmY.

Lattice parameters (Å, degrees): 7.3620 8.5038 7.3303 125.45 90.00 90.00
Closest atoms and distances in Å follow each position.
Sites, in units of the cell vectors:
Ac 0.2500 0.7374 0.4748  1 Sm 3.29
Ac 0.7500 0.2626 0.5252  1 Sm 3.29
Tb 0.5000 0.3111 0.0000  1 Tb 3.21, 2 Sm 3.23, 2 Y 3.52
Tb 0.0000 0.6889 0.0000  1 Tb 3.21, 2 Sm 3.23, 2 Y 3.52
Tb 0.5000 0.6889 0.0000  1 Tb 3.21, 2 Sm 3.23, 2 Y 3.52
Tb 0.0000 0.3111 0.0000  1 Tb 3.21, 2 Sm 3.23, 2 Y 3.52
Sm 0.2500 0.0129 0.0259  4 Tb 3.23, 1 Y 3.29, 1 Ac 3.29
Sm 0.7500 0.9871 0.9741  4 Tb 3.23, 1 Y 3.29, 1 Ac 3.29
Y 0.7500 0.7118 0.4236  1 Sm 3.29, 4 Tb 3.52
Y 0.2500 0.2882 0.5764  1 Sm 3.29, 4 Tb 3.52

Values from the calculation:
ΔE_f = 0.35 eV per atom
theoretical density = 6966 kg/m3
final energy = -45.57 eV per cell



[7]
## Tl3SnPb (PBE-GGA)

Data for an optimized crystal structure of Tl3SnPb.

Lattice parameters (Å, degrees): 5.4002 6.6885 9.5405 77.03 90.47 66.11
Closest atoms and distances in Å follow each position.
Sites, in units of the cell vectors:
Tl 0.8454 0.3078 0.4570  3 Sn 3.27-3.49, 4 Tl 3.34-3.65, 1 Pb 3.45
Tl 0.3516 0.2950 0.9369  4 Tl 3.33-3.51, 1 Sn 3.35, 3 Pb 3.46-3.67
Tl 0.7332 0.5324 0.7530  6 Tl 3.33-3.43, 1 Sn 3.38, 1 Pb 3.66
Tl 0.1546 0.6922 0.5430  3 Sn 3.27-3.49, 4 Tl 3.34-3.65, 1 Pb 3.45
Tl 0.2668 0.4676 0.2470  6 Tl 3.33-3.43, 1 Sn 3.38, 1 Pb 3.66
Tl 0.6484 0.7050 0.0631  4 Tl 3.33-3.51, 1 Sn 3.35, 3 Pb 3.46-3.67
Sn 0.5523 0.8976 0.3620  1 Sn 3.19, 5 Tl 3.27-3.49, 2 Pb 3.35-3.36
Sn 0.4477 0.1024 0.6380  1 Sn 3.19, 5 Tl 3.27-3.49, 2 Pb 3.35-3.36
Pb 0.9565 0.0848 0.1587  2 Sn 3.35-3.36, 1 Pb 3.44, 5 Tl 3.45-3.67
Pb 0.0435 0.9152 0.8413  2 Sn 3.35-3.36, 1 Pb 3.44, 5 Tl 3.45-3.67

Values from the calculation:
ΔE_f = 0.02 eV per atom
theoretical density = 10221 kg/m3
offset from the most stable computed form = 0 meV/atom
final energy = -29.43 eV per cell



[8]
## PmGaCuAg (PBE-GGA)

Data for an optimized crystal structure of PmGaCuAg.

Lattice parameters (Å, degrees): 4.7895 4.7895 4.7895 60.00 60.00 60.00
Closest atoms and distances in Å follow each position.
Sites, in units of the cell vectors:
Cu 0.0000 0.0000 0.0000  4 Pm 2.93, 4 Ag 2.93
Ga 0.5000 0.5000 0.5000  4 Pm 2.93, 4 Ag 2.93
Ag 0.2500 0.2500 0.2500  4 Cu 2.93, 4 Ga 2.93
Pm 0.7500 0.7500 0.7500  4 Ga 2.93, 4 Cu 2.93

Values from the calculation:
ΔE_f = -0.27 eV per atom
theoretical density = 8254 kg/m3
final energy = -15.80 eV per cell